Entry 1:
A relaxed Mo3PbC crystal. Source: Alexandria, functional GGA-PBEsol.

Its calculated formation energy is 4.147 eV/atom. As for the total energy: -28.21 eV/f.u. Its density of states at the Fermi level is 9.4 states/eV/cell.

It has space group Pm-3m (No. 221), with a = 4.941 Å, b = 4.941 Å, c = 4.941 Å, α = 90.00°, β = 90.00° and γ = 90.00°. The distinct sites, in fractional coordinates, are Mo at (0.000, 0.000, 0.500), Pb at (0.000, 0.000, 0.000) and C at (0.500, 0.500, 0.500).


Entry 2:
A relaxed Cs2NaTlCl6 crystal. Source: Alexandria, functional GGA-PBEsol.

As for the total energy: -32.75 eV/f.u. Its density of states at the Fermi level is 0.0 states/eV/cell.

It has space group Fm-3m (No. 225), with a = 10.596 Å, b = 10.596 Å, c = 10.596 Å, α = 90.00°, β = 90.00° and γ = 90.00°. The distinct sites, in fractional coordinates, are Cs at (0.250, 0.250, 0.250), Na at (0.000, 0.000, 0.000), Tl at (0.000, 0.000, 0.500) and Cl at (0.000, 0.000, 0.256).


Entry 3:
A relaxed AlSiOs crystal. Source: Alexandria, functional GGA-PBEsol.

As for the total energy: -22.73 eV/f.u. Its density of states at the Fermi level is 1.2 states/eV/cell.

It has space group P3m1 (No. 156), with a = 2.8846 Å, b = 2.8846 Å, c = 5.9137 Å, α = 90.00°, β = 90.00° and γ = 120.00°. The distinct sites, in fractional coordinates, are Al at (0.0000, 0.0000, 0.0000), Si at (0.6667, 0.3333, 0.3642) and Os at (0.3333, 0.6667, 0.6636).


Entry 4:
A relaxed SrAgSe4 crystal. Source: Alexandria, functional GGA-PBEsol.

As for the total energy: -21.55 eV/f.u. Its density of states at the Fermi level is 12.8 states/eV/cell.

It has space group F-43m (No. 216), with a = 8.190 Å, b = 8.190 Å, c = 8.190 Å, α = 90.00°, β = 90.00° and γ = 90.00°. The distinct sites, in fractional coordinates, are Sr at (0.000, 0.000, 0.000), Ag at (0.250, 0.250, 0.250) and Se at (0.124, 0.124, 0.624).


Entry 5:
A relaxed Pm2IrPt crystal. Source: Alexandria, functional GGA-PBEsol.

Its calculated formation energy is -0.800 eV/atom. As for the total energy: -30.26 eV/f.u. Its density of states at the Fermi level is 6.9 states/eV/cell.

It has space group Fm-3m (No. 225), with a = 6.995 Å, b = 6.995 Å, c = 6.995 Å, α = 90.00°, β = 90.00° and γ = 90.00°. The distinct sites, in fractional coordinates, are Pm at (0.250, 0.250, 0.250), Ir at (0.000, 0.000, 0.000) and Pt at (0.000, 0.000, 0.500).


Entry 6:
A relaxed Lu5Re2C7 crystal. Source: Alexandria, functional GGA-PBEsol.

Its calculated formation energy is -0.506 eV/atom. As for the total energy: -125.62 eV/f.u. Its density of states at the Fermi level is 6.1 states/eV/cell.

It has space group Cmmm (No. 65), with a = 7.865 Å, b = 14.073 Å, c = 3.298 Å, α = 90.00°, β = 90.00° and γ = 90.00°. The distinct sites, in fractional coordinates, are Lu at (0.000, 0.000, 0.000), Lu at (0.207, 0.371, 0.500), Re at (0.000, 0.216, 0.000), C at (0.000, 0.123, 0.500), C at (0.000, 0.500, 0.000), C at (0.173, 0.500, 0.000) and C at (0.250, 0.250, 0.000).


Entry 7:
A relaxed NaCoSi2 crystal. Source: Alexandria, functional GGA-PBEsol.

As for the total energy: -20.22 eV/f.u. Its density of states at the Fermi level is 5.1 states/eV/cell.

It has space group I4_1/amd (No. 141, origin choice 2), with a = 5.134 Å, b = 5.134 Å, c = 13.343 Å, α = 90.00°, β = 90.00° and γ = 90.00°. The distinct sites, in fractional coordinates, are Na at (0.000, 0.250, 0.375), Co at (0.000, 0.250, 0.875) and Si at (0.000, 0.000, 0.000).


Entry 8:
A relaxed Re2MoPb crystal. Source: Alexandria, functional GGA-PBEsol.

Its calculated formation energy is 0.820 eV/atom. As for the total energy: -39.15 eV/f.u. Its density of states at the Fermi level is 8.3 states/eV/cell.

It has space group I4/mmm (No. 139), with a = 3.925 Å, b = 3.925 Å, c = 8.497 Å, α = 90.00°, β = 90.00° and γ = 90.00°. The distinct sites, in fractional coordinates, are Re at (0.000, 0.500, 0.250), Mo at (0.000, 0.000, 0.000) and Pb at (0.000, 0.000, 0.500).


- Which value of density of states at the Fermi level does entry 8 give?
  8.3 states/eV/cell